LiHfZrH2: relaxed, PBE-GGA.

a b c (Å): 3.782 5.112 3.782
angles (deg): 90.00 90.00 90.00
Fractional coordinates of all 5 atoms:
H 0.500 0.000 0.000
Hf 0.500 0.500 0.500
Zr 0.000 0.000 0.000
Li 0.000 0.500 0.000
H 0.000 0.000 0.500

Summary:
space-group type: P4/mmm
Fermi-level density of states: 0.621 states/eV per atom

NdTl2ZnSb2: relaxed, PBE-GGA.

a b c (Å): 4.518 7.943 10.207
angles (deg): 90.00 90.00 90.00
Fractional coordinates of all 12 atoms:
Tl 0.000 0.850 0.873
Sb 0.000 0.229 0.774
Tl 0.500 0.511 0.871
Sb 0.500 0.280 0.380
Tl 0.500 0.011 0.129
Sb 0.000 0.729 0.226
Zn 0.500 0.170 0.640
Nd 0.000 0.005 0.465
Tl 0.000 0.350 0.127
Nd 0.000 0.505 0.535
Zn 0.500 0.670 0.360
Sb 0.500 0.780 0.620

Summary:
ΔE_f (raw): -0.36 eV/atom
space-group type: Pmc2_1
Fermi-level density of states: 0.467 states/eV per atom

Ba3PrSm2Te6: relaxed, PBE-GGA.

a b c (Å): 8.053 8.053 8.331
angles (deg): 99.29 99.29 119.91
Fractional coordinates of all 12 atoms:
Ba 0.835 0.165 0.500
Te 0.588 0.925 0.776
Pr 0.000 0.000 0.000
Te 0.925 0.588 0.776
Sm 0.333 0.667 0.000
Ba 0.500 0.500 0.500
Te 0.075 0.412 0.224
Te 0.736 0.736 0.222
Te 0.264 0.264 0.778
Te 0.412 0.075 0.224
Ba 0.165 0.835 0.500
Sm 0.667 0.333 0.000

Summary:
ΔE_f (raw): -1.57 eV/atom
space-group type: C2/m
Fermi-level density of states: 0.465 states/eV per atom

Cu5W: relaxed, PBE-GGA.

a b c (Å): 4.514 4.514 4.321
angles (deg): 90.00 90.00 120.00
Fractional coordinates of all 6 atoms:
Cu 0.667 0.333 0.500
Cu 0.335 0.335 0.000
W 0.000 0.000 0.500
Cu 0.000 0.665 0.000
Cu 0.665 0.000 0.000
Cu 0.333 0.667 0.500

Summary:
energy of formation from the pure elements: 0.26 eV per atom
space-group type: P-62m
Fermi-level density of states: 0.382 states/eV per atom
ΔE to the lowest computed polymorph: 127 meV/atom

CaMg8Tl6: relaxed, PBE-GGA.

a b c (Å): 8.714 8.714 8.011
angles (deg): 57.05 57.05 60.00
Fractional coordinates of all 15 atoms:
Mg 0.669 0.669 0.994
Tl 0.403 0.071 0.802
Ca 0.000 0.000 0.000
Tl 0.276 0.597 0.198
Mg 0.894 0.553 0.329
Mg 0.331 0.331 0.006
Mg 0.106 0.447 0.671
Mg 0.776 0.106 0.671
Mg 0.224 0.894 0.329
Tl 0.929 0.276 0.198
Tl 0.724 0.403 0.802
Mg 0.553 0.224 0.329
Mg 0.447 0.776 0.671
Tl 0.071 0.724 0.802
Tl 0.597 0.929 0.198

Summary:
energy of formation from the pure elements: 0.01 eV per atom
space-group type: R-3
Fermi-level density of states: 0.478 states/eV per atom

AlMoAu2: relaxed, PBE-GGA.

a b c (Å): 5.033 5.033 5.004
angles (deg): 78.28 78.28 32.67
Fractional coordinates of all 4 atoms:
Mo 0.750 0.750 0.750
Al 0.250 0.250 0.250
Au 0.506 0.506 0.499
Au 0.994 0.994 0.001

Summary:
energy of formation from the pure elements: 0.09 eV per atom
space-group type: C2/m
Fermi-level density of states: 0.826 states/eV per atom

MgSiSe2: relaxed, PBE-GGA.

a b c (Å): 3.929 3.929 6.737
angles (deg): 73.03 73.03 59.99
Fractional coordinates of all 4 atoms:
Si 0.750 0.750 0.750
Mg 0.250 0.250 0.250
Se 0.000 0.000 0.999
Se 0.500 0.500 0.501

Summary:
ΔE_f (raw): -0.51 eV/atom
space-group type: R-3m

PmScCoSi: relaxed, PBE-GGA.

a b c (Å): 4.794 4.794 4.794
angles (deg): 60.00 60.00 60.00
Each line ends with the local moment (μB).
Fractional coordinates of all 4 atoms:
Co 0.250 0.250 0.250  1.20
Pm 0.000 0.000 0.000  -0.10
Si 0.750 0.750 0.750  0.07
Sc 0.500 0.500 0.500  -0.16

Summary:
ΔE_f (raw): -0.30 eV/atom
space-group type: F-43m
Fermi-level density of states: 0.447 states/eV per atom

ScAl2Os: relaxed, PBE-GGA.

a b c (Å): 4.224 3.046 5.116
angles (deg): 79.09 90.00 90.00
Fractional coordinates of all 4 atoms:
Al 0.500 0.131 0.280
Sc 0.500 0.720 0.773
Al 0.000 0.154 0.995
Os 0.000 0.495 0.453

Summary:
energy of formation from the pure elements: -0.32 eV per atom
space-group type: Pm
Fermi-level density of states: 0.464 states/eV per atom

YC3: relaxed, PBE-GGA.

a b c (Å): 4.342 4.342 4.342
angles (deg): 107.43 128.85 94.20
Fractional coordinates of all 4 atoms:
C 0.458 0.500 0.958
C 0.681 0.723 0.958
C 0.236 0.277 0.958
Y 0.458 0.000 0.458

Summary:
energy of formation from the pure elements: 0.26 eV per atom
space-group type: Immm
Fermi-level density of states: 0.467 states/eV per atom
ΔE to the lowest computed polymorph: 0 meV/atom

Let's list magnetization in order: 0.00; 0.00; 0.00; 0.00; 0.00; 0.00; 0.00; 0.22; 0.00; 0.00 μB per atom.
Let's list total DFT energy (no corrections) in order: -4.909; -3.530; -4.807; -5.313; -1.923; -5.195; -4.010; -6.206; -6.578; -8.271 eV/atom.
Let's list volume in order: 14.62; 30.53; 36.94; 12.71; 27.33; 16.72; 21.20; 19.48; 16.16; 14.24 Å³ per atom.